Record 1
Below is a relaxed NdZr2H crystal, with properties calculated at the PBE level.

Unit cell a=3.2304 b=3.2304 c=26.8134 alpha=90.00 beta=90.00 gamma=120.00
Space group R-3m (No. 166, hexagonal axes)
Inequivalent atoms, fractional coordinates:
Nd1 0.0000 0.0000 0.0000
Zr1 0.0000 0.0000 0.1173
H1 0.0000 0.0000 0.5000

Output
- Total magnetic moment: 0.00 μB/cell
- E_tot: -6.219 eV/atom

=====

Record 2
Below is a relaxed Nd3ZrH crystal, with properties calculated at the PBE level.

Unit cell a=5.0288 b=5.0288 c=5.0288 alpha=90.00 beta=90.00 gamma=90.00
Space group Pm-3m (No. 221)
Inequivalent atoms, fractional coordinates:
Nd1 0.0000 0.0000 0.5000
Zr1 0.5000 0.5000 0.5000
H1 0.0000 0.0000 0.0000

Output
- Total magnetic moment: 0.00 μB/cell
- E_tot: -5.279 eV/atom

=====

Record 3
Below is a relaxed NiH2 crystal, with properties calculated at the PBE level.

Unit cell a=2.5247 b=2.5295 c=4.3320 alpha=73.26 beta=73.65 gamma=60.31
Space group P-1 (No. 2)
Inequivalent atoms, fractional coordinates:
Ni1 0.0000 0.0000 0.0000
H1 0.2691 0.2660 0.2054

Output
- Total magnetic moment: 0.00 μB/cell
- E_tot: -4.160 eV/atom

=====

Record 4
Below is a relaxed Ni3H crystal, with properties calculated at the PBE level.

Unit cell a=2.4500 b=2.4577 c=6.0770 alpha=90.00 beta=90.00 gamma=90.00
Space group Pmm2 (No. 25)
Inequivalent atoms, fractional coordinates:
Ni1 0.0000 0.0000 0.0000
Ni2 0.0000 0.5000 0.3595
Ni3 0.5000 0.5000 0.7120
H1 0.5000 0.0000 0.2700

Output
- Total magnetic moment: 1.33 μB/cell
- E_tot: -5.008 eV/atom

=====

Record 5
Below is a relaxed Ni6H crystal, with properties calculated at the PBE level.

Unit cell a=8.2367 b=7.5199 c=4.3509 alpha=90.00 beta=90.00 gamma=90.00
Space group Pnma (No. 62)
Inequivalent atoms, fractional coordinates:
Ni1 0.0018 0.0812 0.2469
Ni2 0.0025 0.2500 0.7529
Ni3 0.2486 0.0809 0.9152
Ni4 0.2490 0.2500 0.4221
H1 0.1245 0.7500 0.5829

Output
- Total magnetic moment: 11.96 μB/cell
- E_tot: -5.416 eV/atom

=====

Record 6
Below is a relaxed Ni8H crystal, with properties calculated at the PBE level.

Unit cell a=5.0077 b=5.0077 c=4.1171 alpha=90.00 beta=90.00 gamma=120.00
Space group P-3m1 (No. 164)
Inequivalent atoms, fractional coordinates:
Ni1 0.1695 0.3390 0.2469
Ni2 0.3333 0.6667 0.7508
H1 0.0000 0.0000 0.5000

Output
- Total magnetic moment: 4.78 μB/cell
- E_tot: -5.487 eV/atom

=====

> What is the formula in the sixth record?

Ni8H